The following is a GGA-PBE calculation of a geometry-optimized In2PtRh structure, from Alexandria.

Cell lengths 9.110, 9.110, 9.110 Å; angles 19.73, 19.73, 19.73 degrees
Positions (direct):
In: 0.008 0.008 0.008
In: 0.243 0.243 0.243
Pt: 0.497 0.497 0.497
Rh: 0.751 0.751 0.751

VASP energy = -4.68 eV per atom
DOS(E_F) = 4.354 states/eV/f.u.
Total magnetization = 0.00 μB/f.u.
SG = R3m
ΔE_f = 0.0422 eV per atom